# Al2MoBr

An optimized crystal structure of Al2MoBr (PBE-GGA, the Alexandria database).

a b c (Å): 5.1067 5.1067 5.1067
angles (deg): 132.65 132.65 69.21
With the nearest neighbours (Å) after each atom.
Fractional positions:
Al 0.0000 0.0000 0.0000  4 Mo 2.90, 4 Br 2.94, 4 Al 2.94
Al 0.7500 0.2500 0.5000  4 Br 2.90, 4 Mo 2.94, 4 Al 2.94
Mo 0.5000 0.5000 0.0000  8 Al 2.90-2.94, 4 Br 2.94
Br 0.2500 0.7500 0.5000  8 Al 2.90-2.94, 4 Mo 2.94

**Symmetry**: I-4m2 (119)
**ΔE_f (raw)**: 629 meV/atom
**Energy above the most stable polymorph in this dataset**: 0.565 eV/atom
**VASP energy**: -4.37 eV/atom